(1)
MgTi3Pb5WO15: optimized geometry, GGA+U.

```
MgTi3Pb5WO15
1.0
5.650 0.000 0.000
0.000 5.650 0.000
0.000 0.000 20.090
Mg Ti Pb W O
2 6 10 2 30
Direct
0.250 0.250 0.102
0.750 0.750 0.898
0.250 0.250 0.297
0.250 0.250 0.496
0.250 0.250 0.694
0.750 0.750 0.306
0.750 0.750 0.504
0.750 0.750 0.703
0.250 0.750 0.000
0.250 0.750 0.205
0.250 0.750 0.402
0.250 0.750 0.598
0.250 0.750 0.795
0.750 0.250 0.000
0.750 0.250 0.205
0.750 0.250 0.402
0.750 0.250 0.598
0.750 0.250 0.795
0.250 0.250 0.899
0.750 0.750 0.101
0.000 0.000 0.500
0.000 0.500 0.500
0.001 0.001 0.698
0.001 0.499 0.698
0.007 0.007 0.899
0.007 0.493 0.899
0.250 0.250 0.206
0.250 0.250 0.402
0.250 0.250 0.600
0.250 0.250 0.799
0.250 0.250 0.996
0.493 0.007 0.899
0.493 0.493 0.899
0.499 0.001 0.698
0.499 0.499 0.698
0.500 0.000 0.500
0.500 0.500 0.500
0.501 0.501 0.302
0.501 0.999 0.302
0.507 0.507 0.101
0.507 0.993 0.101
0.750 0.750 0.004
0.750 0.750 0.201
0.750 0.750 0.400
0.750 0.750 0.598
0.750 0.750 0.794
0.993 0.507 0.101
0.993 0.993 0.101
0.999 0.501 0.302
0.999 0.999 0.302
```

Computed properties:
- Total magnetization: 0.00 μB/f.u.
- Mass density: 8.43 g/cm³
- Crystal system: tetragonal
- Space group: No. 129
- N(E_F): 0.00 states/eV/atom
- Energy: -0.5229 Ry per atom

(2)
MgTi2Pb4WO12: optimized geometry, GGA+U.

```
MgTi2Pb4WO12
1.0
-2.830 2.830 8.063
2.830 -2.830 8.063
2.830 2.830 -8.063
Mg Ti Pb W O
1 2 4 1 12
Direct
0.000 0.000 0.000
0.243 0.243 0.000
0.757 0.757 0.000
0.128 0.628 0.500
0.372 0.872 0.500
0.628 0.128 0.500
0.872 0.372 0.500
0.500 0.500 0.000
0.000 0.000 0.500
0.000 0.500 0.000
0.130 0.130 0.000
0.258 0.258 0.516
0.258 0.742 0.000
0.377 0.377 0.000
0.500 0.000 0.000
0.500 0.500 0.500
0.623 0.623 0.000
0.742 0.258 0.000
0.742 0.742 0.484
0.870 0.870 0.000
```

Computed properties:
- Total magnetization: 0.00 μB/f.u.
- Mass density: 8.51 g/cm³
- Crystal system: tetragonal
- Space group: No. 139
- N(E_F): 0.00 states/eV/atom
- Energy: -0.5145 Ry per atom